Computed, not measured: crystalline Li4CrHg at its relaxed geometry at the PBE level of DFT.

extended XYZ file:
```
6
Lattice="0.000 3.656 3.656 3.656 0.000 3.656 3.656 3.656 0.000" Properties=species:S:1:pos:R:3 pbc="T T T"
Li 4.570 4.570 2.742
Li 2.742 4.570 4.570
Li 4.570 2.742 4.570
Li 2.742 2.742 2.742
Hg 0.000 0.000 0.000
Cr 5.484 5.484 5.484
```

Computed properties:
The value obtained for the calculated total energy is -16.63 eV/f.u. The formation energy comes out at 158 meV per atom.

Computed, not measured: crystalline Li2Ca2Cu at its relaxed geometry at the PBE level of DFT.

extended XYZ file:
```
5
Lattice="4.906 0.000 1.866 -0.722 4.337 1.898 0.499 0.070 6.070" Properties=species:S:1:pos:R:3 pbc="T T T"
Ca 1.131 3.547 4.408
Ca 3.552 0.861 5.426
Li 0.818 2.169 1.398
Cu 0.000 0.000 0.000
Li 3.366 2.169 2.367
```

Computed properties:
For the excess energy over the best structure of this formula in the dataset, the calculation gives 0.0 meV/atom. The value obtained for the calculated total energy is -11.78 eV/f.u. The formation energy comes out at 30 meV per atom.

Computed, not measured: crystalline La3SnN at its relaxed geometry at the PBE level of DFT.

extended XYZ file:
```
20
Lattice="-9.634 9.127 0.498 -5.299 -3.552 2.746 2.094 -0.340 6.613" Properties=species:S:1:pos:R:3 pbc="T T T"
La -7.552 6.297 1.471
Sn -2.588 0.622 7.013
N -6.402 0.877 8.914
Sn -6.551 6.223 4.767
La -1.699 -0.582 0.725
La -11.139 5.817 9.132
La -8.620 1.213 8.108
N -10.325 6.526 6.552
Sn -6.288 -0.989 5.090
Sn -10.251 4.612 2.845
La -5.543 2.201 6.605
La -4.218 4.022 1.750
La -7.296 3.034 3.252
N -6.436 4.358 0.943
N -2.513 -1.292 3.306
La -5.286 -1.062 8.386
La -3.574 0.714 3.673
La -3.008 -2.385 5.537
La -9.830 7.620 4.320
La -9.264 4.521 6.184
```

Computed properties:
The raw formation energy comes out at -0.87 eV per atom. The value obtained for the calculated total energy is -31.46 eV/f.u.

Computed, not measured: crystalline Cr2HN at its relaxed geometry at the PBE level of DFT.

extended XYZ file:
```
8
Lattice="4.246 0.000 0.000 0.000 4.246 0.000 2.123 2.123 4.184" Properties=species:S:1:pos:R:3 pbc="T T T"
H 2.123 4.246 2.092
N 4.246 2.123 2.092
N 0.000 0.000 0.000
Cr 3.185 3.207 3.138
Cr 5.308 5.285 3.138
H 2.123 2.123 0.000
Cr 3.162 1.062 1.046
Cr 1.084 3.185 1.046
```

Computed properties:
For the excess energy over the best structure of this formula in the dataset, the calculation gives 300.0 meV/atom. The value obtained for the calculated total energy is -31.02 eV/f.u.

Computed, not measured: crystalline CrH2W2 at its relaxed geometry at the PBE level of DFT.

extended XYZ file:
```
5
Lattice="-0.608 2.910 -0.103 -2.132 -0.373 2.040 2.386 2.199 5.064" Properties=species:S:1:pos:R:3 pbc="T T T"
W -0.340 1.523 2.091
H 0.204 3.188 2.965
H -0.558 1.547 4.036
W -0.014 3.212 4.910
Cr 0.000 0.000 0.000
```

Computed properties:
The value obtained for the calculated total energy is -41.05 eV/f.u.

Computed, not measured: crystalline K2SmTmS4 at its relaxed geometry at the PBE level of DFT.

extended XYZ file:
```
8
Lattice="-1.815 -2.785 -2.351 -2.354 -3.326 5.758 -5.342 5.210 -2.049" Properties=species:S:1:pos:R:3 pbc="T T T"
S -6.999 0.198 1.643
K -3.578 1.213 -2.200
Tm 0.000 0.000 0.000
S -2.837 -1.407 3.856
Sm -2.084 -3.056 1.704
S -2.511 -1.099 -0.285
S -4.859 3.291 -0.148
K -3.848 0.942 1.854
```

Computed properties:
The raw formation energy comes out at -1.87 eV per atom. The value obtained for the calculated total energy is -42.88 eV/f.u.

Computed, not measured: crystalline Pm2Er2Bi5 at its relaxed geometry at the PBE level of DFT.

extended XYZ file:
```
18
Lattice="-7.377 3.221 2.677 -3.132 -8.392 1.466 4.431 5.133 6.034" Properties=species:S:1:pos:R:3 pbc="T T T"
Bi -0.439 0.213 7.930
Bi -1.693 -2.508 2.394
Bi -3.565 3.458 3.499
Er -5.761 1.583 4.851
Pm -4.500 -2.631 4.206
Bi 0.000 0.000 0.000
Er -2.323 0.601 2.068
Bi -4.385 2.470 7.782
Bi 0.381 1.201 3.647
Bi -6.459 -1.240 6.529
Pm -1.579 2.593 5.970
Bi -5.639 -0.252 2.246
Bi -3.039 -0.019 5.088
Pm -1.672 -5.780 2.348
Pm 2.970 2.521 5.152
Er -0.317 -1.621 5.325
Er -3.755 -0.639 8.108
Bi -2.513 -3.496 6.677
```

Computed properties:
The value obtained for the calculated total energy is -43.89 eV/f.u. The formation energy comes out at -651 meV per atom.

Computed, not measured: crystalline Ce3H12Ir5 at its relaxed geometry at the PBE level of DFT.

extended XYZ file:
```
80
Lattice="10.286 0.000 0.000 -3.429 9.698 0.000 -3.429 -4.849 8.399" Properties=species:S:1:pos:R:3 pbc="T T T"
Ir 4.286 -3.031 7.349
Ir -0.857 7.880 1.050
H 2.603 3.771 3.433
H -0.826 3.512 7.616
Ce -4.286 4.849 6.299
Ir 5.143 0.000 0.000
H 1.872 -1.942 4.930
Ir 6.000 -0.606 5.249
Ir 1.714 2.425 4.199
H 7.015 -2.033 4.982
H 5.448 -0.834 1.550
Ir -2.572 5.455 3.150
Ir 2.572 1.818 1.050
H 0.974 -1.307 7.668
H 4.170 -1.286 7.632
H 0.826 1.078 4.966
H 5.301 2.816 3.417
H 3.124 -1.500 2.702
Ce 2.572 5.455 5.249
H 4.402 4.870 1.497
Ir -0.857 0.606 5.249
H 7.598 4.828 1.497
Ir -1.714 4.849 0.000
Ce 4.286 0.606 3.150
Ir 0.857 -2.425 6.299
H -0.741 6.135 0.767
H 6.700 0.874 0.052
Ir 0.000 0.000 0.000
H 4.170 1.307 7.668
H 4.838 5.514 4.252
Ir 3.429 4.849 0.000
H -2.019 5.683 6.849
H -2.541 8.361 0.783
H 7.746 2.415 2.650
H 2.019 1.500 2.702
Ce 7.715 0.000 2.100
H 1.410 3.349 5.697
H 5.970 -3.512 7.616
Ir 2.572 7.274 2.100
H 5.301 8.824 0.052
H 4.255 1.337 0.783
Ir -0.857 2.425 2.100
H -3.271 3.975 8.347
Ce 2.572 0.000 6.299
Ir 4.286 2.425 6.299
Ir -3.429 2.425 4.199
Ce 6.000 6.667 1.050
H -4.170 0.021 6.902
Ce 6.000 3.031 1.050
Ce 0.857 4.849 2.100
H 4.317 -1.078 4.966
Ir 4.286 4.243 3.150
H -3.586 6.882 3.417
H -0.741 3.542 0.731
H 2.455 3.563 0.767
Ce -2.572 1.818 7.349
H -4.317 2.434 5.749
H 0.305 6.349 5.697
H 6.553 0.665 4.147
H 0.157 2.907 3.469
H 3.734 4.015 6.849
H -0.305 0.834 1.550
H 0.974 1.286 7.632
H 3.271 1.942 4.930
Ce -0.857 4.243 5.249
Ce -2.572 -1.818 7.349
H -1.410 -0.665 4.147
H -0.974 -0.021 6.902
Ir 3.429 -2.425 4.199
H 2.455 6.156 0.731
H -3.124 4.184 4.252
H 4.255 7.283 2.650
H -0.826 -2.434 5.749
H -1.872 2.033 4.982
Ir 0.857 3.031 7.349
Ir -1.714 -2.425 4.199
H -1.872 -3.975 8.347
Ce 0.857 -0.606 3.150
H -0.888 5.927 3.433
H 1.557 6.791 3.469
```

Computed properties:
The value obtained for the calculated total energy is -105.65 eV/f.u.